NaZr2Mn: PBEsol geometry, meta-GGA SCAN.

ΔH_f (0 K) = 0.51 eV per atom
DFT total energy = -20.45 eV/atom
magnetic moment = 0.002 μB/cell
N(E_F) = 0.948 states/eV/atom

Geometry as POSCAR:
```
NaZr2Mn
1.0
4.6489 0.0000 0.0000
2.3244 4.0260 0.0000
2.3244 1.3420 3.7958
Na Mn Zr
1 1 2
Direct
0.0000 0.0000 0.0000
0.5000 0.5000 0.5000
0.2500 0.2500 0.2500
0.7500 0.7500 0.7500
```